28
Lattice="4.895 0.000 0.000 0.000 8.076 0.000 0.000 0.000 10.428" Properties=species:S:1:pos:R:3 comment="HoCu5Sn meta-GGA SCAN single point on PBEsol structure" total_magnetization_mub_per_atom=0.000 volume_a3_per_atom=14.72 formation_energy_ev_per_atom=-0.292 space_group="Pnma, No. 62" pbc="T T T"
Ho 3.671 6.058 4.559
Ho 1.224 2.018 5.869
Ho 1.224 6.056 9.773
Ho 3.671 2.020 0.655
Cu 3.671 5.519 7.910
Cu 1.224 2.558 2.518
Cu 1.224 6.596 2.696
Cu 3.671 1.481 7.732
Cu 0.006 7.516 7.170
Cu 4.889 0.560 3.258
Cu 4.889 4.599 1.956
Cu 2.453 0.560 3.258
Cu 0.006 3.478 8.472
Cu 2.442 7.516 7.170
Cu 2.442 3.478 8.472
Cu 2.453 4.599 1.956
Cu 3.671 4.718 10.255
Cu 1.224 3.359 0.174
Cu 1.224 7.397 5.040
Cu 3.671 0.679 5.388
Cu 3.671 7.607 9.367
Cu 1.224 0.469 1.061
Cu 1.224 4.508 4.153
Cu 3.671 3.569 6.275
Sn 3.671 6.967 1.447
Sn 1.224 1.110 8.981
Sn 1.224 5.148 6.661
Sn 3.671 2.928 3.767

=====

4
Lattice="-4.215 0.394 2.166 -0.721 -2.110 4.200 -0.411 2.628 3.941" Properties=species:S:1:pos:R:3 comment="Ho2CuTc meta-GGA SCAN single point on PBEsol structure" total_magnetization_mub_per_atom=0.000 volume_a3_per_atom=19.01 formation_energy_ev_per_atom=-0.167 space_group="Fm-3m, No. 225" pbc="T T T"
Ho -1.337 0.228 2.577
Ho -4.010 0.684 7.731
Cu 0.000 0.000 0.000
Tc -2.673 0.456 5.154

=====

22
Lattice="-2.369 6.831 1.302 -3.246 -5.706 3.307 10.633 0.731 8.957" Properties=species:S:1:pos:R:3 comment="Ho7Cu3Te12 meta-GGA SCAN single point on PBEsol structure" total_magnetization_mub_per_atom=0.000 volume_a3_per_atom=29.16 e_form_raw_ev_per_atom=-1.21 space_group="P1, No. 1" pbc="T T T"
Ho 4.664 1.180 9.348
Ho 7.672 -0.786 11.558
Ho 0.010 -3.542 4.904
Ho 4.406 -2.947 9.987
Ho 0.688 4.846 3.489
Ho 4.912 5.365 8.721
Ho 0.335 0.667 4.207
Cu 2.454 3.319 8.106
Cu 2.931 2.730 4.870
Cu -0.039 1.198 7.523
Te 3.338 0.342 4.097
Te 0.686 3.165 6.038
Te 5.048 3.580 11.167
Te -2.673 0.922 4.366
Te 0.523 -1.121 6.645
Te 1.627 1.392 9.569
Te 4.700 -0.558 11.841
Te 0.255 2.412 1.752
Te 4.656 2.951 6.864
Te 7.695 0.992 9.163
Te 0.032 -1.774 2.426
Te 4.275 -1.157 7.552

=====

4
Lattice="-3.527 -2.901 1.371 0.483 -4.722 -0.458 0.528 -2.730 3.874" Properties=species:S:1:pos:R:3 comment="HoTmCu2 meta-GGA SCAN single point on PBEsol structure" total_magnetization_mub_per_atom=0.000 volume_a3_per_atom=19.17 formation_energy_ev_per_atom=-0.335 space_group="Fm-3m, No. 225" pbc="T T T"
Tm 0.000 0.000 0.000
Ho -1.258 -5.177 2.393
Cu -0.629 -2.588 1.197
Cu -1.887 -7.765 3.590

=====

Number 1: total energy -23.28 eV/atom. Number 2: total energy -37.23 eV/atom. Number 3: total energy -39.19 eV/atom. Number 4: total energy -33.14 eV/atom.